Record 1
Entry from Alexandria via LeMat-Bulk: a relaxed structure of CeU2Ru4 (GGA-PBE).

Unit cell a=6.4628 b=6.4626 c=8.0645 alpha=116.58 beta=105.82 gamma=95.82
Last column: nearest neighbours and their distance in Å.
Sites, in units of the cell vectors:
Ru: 0.0376 0.2462 0.4033  2 U 2.52-2.63, 1 Ru 2.76
Ru: 0.4231 0.7700 0.9079  1 U 2.35
Ce: 0.2552 0.7551 0.5000  8 Ru 2.93-3.12
Ru: 0.7224 0.0532 0.6576  1 U 2.44
Ru: 0.4457 0.1799 0.8955  1 U 2.44, 1 Ru 2.69
Ru: 0.8621 0.5152 0.0921  1 U 2.35
U: 0.7404 0.8476 0.2742  2 Ru 2.35-2.63
Ru: 0.3956 0.0648 0.3424  1 U 2.44
Ru: 0.8428 0.6343 0.5967  2 U 2.52-2.63, 1 Ru 2.76
Ru: 0.2844 0.5502 0.1045  1 U 2.44, 1 Ru 2.69
Ce: 0.0108 0.0108 0.0000  4 Ru 2.85-3.02
U: 0.0668 0.3390 0.7493  3 Ru 2.44-2.52
U: 0.5897 0.3174 0.2507  3 Ru 2.44-2.52
U: 0.5734 0.4662 0.7258  2 Ru 2.35-2.63

Values from the calculation:
Symmetry: C2, No. 5
Total DFT energy (no corrections): -9.56 eV per atom
Formation energy: -0.19 eV per atom

---

Record 2
Entry from Alexandria via LeMat-Bulk: a relaxed structure of Si3Hg (GGA-PBE).

Unit cell a=2.8576 b=2.8576 c=10.2617 alpha=90.00 beta=90.00 gamma=120.00
Last column: nearest neighbours and their distance in Å.
Sites, in units of the cell vectors:
Si: 0.0000 0.0000 0.5000  12 Si 2.67-2.86
Si: 0.6667 0.3333 0.7046  9 Si 2.67-2.86
Si: 0.6667 0.3333 0.2954  9 Si 2.67-2.86
Hg: 0.0000 0.0000 0.0000  6 Hg 2.86

Values from the calculation:
Symmetry: P-6m2, No. 187
Total DFT energy (no corrections): -3.58 eV per atom
Uncorrected formation energy: 2.26 eV/f.u.

---

Record 3
Entry from Alexandria via LeMat-Bulk: a relaxed structure of HoSn2Te4 (GGA-PBE).

Unit cell a=4.2948 b=7.6230 c=14.6417 alpha=90.00 beta=90.00 gamma=106.36
Last column: nearest neighbours and their distance in Å.
Sites, in units of the cell vectors:
Sn: 0.8649 0.7297 0.5636  6 Te 3.06-3.22
Sn: 0.8649 0.7297 0.9364  6 Te 3.06-3.22
Sn: 0.1351 0.2703 0.4364  6 Te 3.06-3.22
Te: 0.7847 0.5694 0.3687  3 Sn 3.09-3.22, 2 Ho 3.18
Te: 0.0406 0.0813 0.2500  2 Ho 3.06, 2 Sn 3.06
Ho: 0.6082 0.2165 0.7500  6 Te 3.06-3.18
Te: 0.7847 0.5694 0.1313  3 Sn 3.09-3.22, 2 Ho 3.18
Te: 0.5000 0.0000 0.5000  4 Sn 3.06
Te: 0.5000 0.0000 0.0000  4 Sn 3.06
Te: 0.2153 0.4306 0.6313  3 Sn 3.09-3.22, 2 Ho 3.18
Ho: 0.3918 0.7835 0.2500  6 Te 3.06-3.18
Te: 0.9594 0.9187 0.7500  2 Ho 3.06, 2 Sn 3.06
Sn: 0.1351 0.2703 0.0636  6 Te 3.06-3.22
Te: 0.2153 0.4306 0.8687  3 Sn 3.09-3.22, 2 Ho 3.18

Values from the calculation:
Symmetry: Cmcm, No. 63
Total DFT energy (no corrections): -4.17 eV per atom
Uncorrected formation energy: -4.01 eV/f.u.

---

Record 4
Entry from Alexandria via LeMat-Bulk: a relaxed structure of Ga6IrRh (GGA-PBE).

Unit cell a=4.7276 b=6.1054 c=6.5944 alpha=59.77 beta=80.77 gamma=54.46
Last column: nearest neighbours and their distance in Å.
Sites, in units of the cell vectors:
Ir: 0.0000 0.0000 0.0000  8 Ga 2.51-2.74
Ga: 0.7572 0.2530 0.2489  1 Rh 2.50, 1 Ir 2.51, 4 Ga 2.69-2.76
Ga: 0.2428 0.7470 0.7511  1 Rh 2.50, 1 Ir 2.51, 4 Ga 2.69-2.76
Ga: 0.0817 0.4721 0.3052  1 Ir 2.62, 2 Rh 2.65-2.79, 5 Ga 2.67-2.73
Ga: 0.9183 0.5279 0.6948  1 Ir 2.62, 2 Rh 2.65-2.79, 5 Ga 2.67-2.73
Rh: 0.5000 0.5000 0.5000  8 Ga 2.50-2.79
Ga: 0.5655 0.9799 0.8028  1 Rh 2.61, 5 Ga 2.67-2.76, 2 Ir 2.69-2.74
Ga: 0.4345 0.0201 0.1972  1 Rh 2.61, 5 Ga 2.67-2.76, 2 Ir 2.69-2.74

Values from the calculation:
Symmetry: P-1, No. 2
Total DFT energy (no corrections): -4.59 eV per atom
Formation energy: -0.29 eV per atom

---

Record 5
Entry from Alexandria via LeMat-Bulk: a relaxed structure of MgTc (GGA-PBE).

Unit cell a=3.6725 b=3.6725 c=3.6725 alpha=60.00 beta=60.00 gamma=60.00
Last column: nearest neighbours and their distance in Å.
Sites, in units of the cell vectors:
Mg: 0.0000 0.0000 0.0000  6 Tc 2.60
Tc: 0.5000 0.5000 0.5000  6 Mg 2.60

Values from the calculation:
Symmetry: Fm-3m, No. 225
Total DFT energy (no corrections): -4.77 eV per atom
Formation energy: 1.21 eV per atom

---

Record 6
Entry from Alexandria via LeMat-Bulk: a relaxed structure of DyErTm4S8 (GGA-PBE).

Unit cell a=7.9531 b=7.9531 c=7.9588 alpha=60.02 beta=60.02 gamma=60.00
Last column: nearest neighbours and their distance in Å.
Sites, in units of the cell vectors:
S: 0.2409 0.2409 0.2772  1 Dy 2.61, 3 Tm 2.72
S: 0.2284 0.7564 0.2587  3 Tm 2.58-2.73, 1 Er 2.74
S: 0.7575 0.7575 0.7275  4 Tm 2.58-2.73
Tm: 0.5007 0.9998 0.4997  6 S 2.72-2.73
Tm: 0.9998 0.5007 0.4997  6 S 2.72-2.73
S: 0.2422 0.2422 0.7398  1 Dy 2.60, 2 Tm 2.72, 1 Er 2.73
Er: 0.9998 0.9998 0.0005  6 S 2.73-2.74
S: 0.7759 0.2422 0.7398  1 Dy 2.60, 2 Tm 2.72, 1 Er 2.73
S: 0.2422 0.7759 0.7398  1 Dy 2.60, 2 Tm 2.72, 1 Er 2.73
Tm: 0.9998 0.9998 0.4997  6 S 2.72-2.73
Tm: 0.6251 0.6251 0.1246  4 S 2.58
S: 0.7564 0.7564 0.2587  3 Tm 2.58-2.73, 1 Er 2.74
Dy: 0.3748 0.3748 0.8757  4 S 2.60-2.61
S: 0.7564 0.2284 0.2587  3 Tm 2.58-2.73, 1 Er 2.74

Values from the calculation:
Symmetry: R3m, No. 160
Total DFT energy (no corrections): -6.21 eV per atom
Uncorrected formation energy: -26.88 eV/f.u.

---

Record 7
Entry from Alexandria via LeMat-Bulk: a relaxed structure of Mn5Nb2ZnCr2 (GGA-PBE).

Unit cell a=2.8936 b=9.7041 c=9.7041 alpha=90.00 beta=90.00 gamma=90.00
Last column: nearest neighbours and their distance in Å.
Sites, in units of the cell vectors:
Mn: 0.5000 0.0498 0.7967  2 Cr 2.29, 2 Zn 2.49
Mn: 0.5000 0.5000 0.0000  4 Cr 2.33
Cr: 0.0000 0.3668 0.1332  6 Mn 2.29-2.33
Cr: 0.0000 0.1332 0.6332  6 Mn 2.29-2.33
Mn: 0.5000 0.9502 0.2033  2 Cr 2.29, 2 Zn 2.49
Mn: 0.5000 0.2033 0.0498  2 Cr 2.29, 2 Zn 2.49
Zn: 0.0000 0.5000 0.5000  8 Mn 2.49
Nb: 0.0000 0.1740 0.3260  1 Cr 2.65, 6 Mn 2.79-2.87, 2 Nb 2.89
Mn: 0.5000 0.7033 0.4502  2 Cr 2.29, 2 Zn 2.49
Nb: 0.0000 0.8260 0.6740  1 Cr 2.65, 6 Mn 2.79-2.87, 2 Nb 2.89
Mn: 0.5000 0.2967 0.5498  2 Cr 2.29, 2 Zn 2.49
Mn: 0.5000 0.5498 0.7033  2 Cr 2.29, 2 Zn 2.49
Zn: 0.0000 0.0000 0.0000  8 Mn 2.49
Nb: 0.0000 0.3260 0.8260  1 Cr 2.65, 6 Mn 2.79-2.87, 2 Nb 2.89
Mn: 0.5000 0.4502 0.2967  2 Cr 2.29, 2 Zn 2.49
Nb: 0.0000 0.6740 0.1740  1 Cr 2.65, 6 Mn 2.79-2.87, 2 Nb 2.89
Mn: 0.5000 0.0000 0.5000  4 Cr 2.33
Cr: 0.0000 0.6332 0.8668  6 Mn 2.29-2.33
Cr: 0.0000 0.8668 0.3668  6 Mn 2.29-2.33
Mn: 0.5000 0.7967 0.9502  2 Cr 2.29, 2 Zn 2.49

Values from the calculation:
Symmetry: P4/mbm, No. 127
Total DFT energy (no corrections): -8.42 eV per atom
Formation energy: 0.23 eV per atom

---

Record 8
Entry from Alexandria via LeMat-Bulk: a relaxed structure of Cr2GaCoC (GGA-PBE).

Unit cell a=3.9049 b=3.9049 c=3.7527 alpha=90.00 beta=90.00 gamma=90.00
Last column: nearest neighbours and their distance in Å.
Sites, in units of the cell vectors:
Co: 0.0000 0.0000 0.5000  2 C 1.88
C: 0.0000 0.0000 0.0000  2 Co 1.88, 4 Cr 1.95
Cr: 0.0000 0.5000 0.0000  2 C 1.95
Ga: 0.5000 0.5000 0.5000  8 Cr 2.71, 4 Co 2.76
Cr: 0.5000 0.0000 0.0000  2 C 1.95

Values from the calculation:
Symmetry: P4/mmm, No. 123
Total DFT energy (no corrections): -7.74 eV per atom
Formation energy: -0.02 eV per atom

---

Which value of total DFT energy (no corrections) does entry 1 give?
-9.56 eV per atom

---

total DFT energy (no corrections) of number 8 (Cr2GaCoC)?
-7.74 eV per atom